Entry from Alexandria via LeMat-Bulk: an optimized crystal structure of FeO (GGA+U).

Lattice parameters (Å, degrees): 5.810 5.810 5.810 90.00 90.00 90.00
Space group Pm-3n (No. 223)
Inequivalent atoms, fractional coordinates:
Fe 0.000 0.250 0.500
O 0.000 0.500 0.250

Output
**Uncorrected energy**: -0.4756 Ry per atom